# 1
# Sm5SnHg3 PBE optimized geometry
# total magnetization: 0.00 μB/f.u.
# crystal system: hexagonal
# calculated formation energy: -0.4574 eV per atom
data_Sm5SnHg3
_cell_length_a 6.6395
_cell_length_b 9.4400
_cell_length_c 9.4393
_cell_angle_alpha 120.00
_cell_angle_beta 90.00
_cell_angle_gamma 90.00
_symmetry_space_group_name_H-M 'P 1'
_symmetry_Int_Tables_number 1
_symmetry_space_group_name_Hall 'P 1'
loop_
_atom_site_label
_atom_site_type_symbol
_atom_site_fract_x
_atom_site_fract_y
_atom_site_fract_z
Sm1 Sm 0.0000 0.6667 0.3333
Sm2 Sm 0.5000 0.3333 0.6667
Sm3 Sm 0.0000 0.3333 0.6667
Sm4 Sm 0.5000 0.6667 0.3333
Sm5 Sm 0.7500 0.7144 0.7144
Sm6 Sm 0.7500 0.0000 0.2856
Sm7 Sm 0.7500 0.2856 0.0000
Sm8 Sm 0.2500 0.2856 0.2856
Sm9 Sm 0.2500 0.0000 0.7144
Sm10 Sm 0.2500 0.7144 0.0000
Sn1 Sn 0.0000 0.0000 0.0000
Sn2 Sn 0.5000 0.0000 0.0000
Hg1 Hg 0.7500 0.3814 0.3814
Hg2 Hg 0.7500 0.0000 0.6186
Hg3 Hg 0.7500 0.6186 0.0000
Hg4 Hg 0.2500 0.6186 0.6186
Hg5 Hg 0.2500 0.0000 0.3814
Hg6 Hg 0.2500 0.3814 0.0000

# 2
# SmSnHg4 PBE optimized geometry
# total magnetization: 0.00 μB/f.u.
# crystal system: orthorhombic
# relative energy among the computed polymorphs: 0 meV/atom
# calculated formation energy: -0.2679 eV per atom
data_SmSnHg4
_cell_length_a 4.5897
_cell_length_b 4.6518
_cell_length_c 7.4035
_cell_angle_alpha 90.00
_cell_angle_beta 108.06
_cell_angle_gamma 90.00
_symmetry_space_group_name_H-M 'P 1'
_symmetry_Int_Tables_number 1
_symmetry_space_group_name_Hall 'P 1'
loop_
_atom_site_label
_atom_site_type_symbol
_atom_site_fract_x
_atom_site_fract_y
_atom_site_fract_z
Sm1 Sm 0.5000 0.5000 0.0000
Sn1 Sn 0.0000 0.0000 0.0000
Hg1 Hg 0.3330 0.0000 0.6660
Hg2 Hg 0.6670 0.0000 0.3340
Hg3 Hg 0.8293 0.5000 0.6587
Hg4 Hg 0.1707 0.5000 0.3413

# 3
# Sm7Sn5Hg PBE optimized geometry
# total magnetization: 0.00 μB/f.u.
# crystal system: orthorhombic
# calculated formation energy: -0.4728 eV per atom
data_Sm7Sn5Hg
_cell_length_a 6.4173
_cell_length_b 8.4261
_cell_length_c 8.4261
_cell_angle_alpha 84.25
_cell_angle_beta 67.62
_cell_angle_gamma 67.62
_symmetry_space_group_name_H-M 'P 1'
_symmetry_Int_Tables_number 1
_symmetry_space_group_name_Hall 'P 1'
loop_
_atom_site_label
_atom_site_type_symbol
_atom_site_fract_x
_atom_site_fract_y
_atom_site_fract_z
Sm1 Sm 0.6413 0.3587 0.3587
Sm2 Sm 0.2653 0.7347 0.7347
Sm3 Sm 0.0047 0.3294 0.6613
Sm4 Sm 0.0047 0.6613 0.3294
Sm5 Sm 0.2789 0.2211 0.2211
Sm6 Sm 0.5207 0.8130 0.1456
Sm7 Sm 0.5207 0.1456 0.8130
Sn1 Sn 0.5087 0.9990 0.4828
Sn2 Sn 0.0096 0.9990 0.4828
Sn3 Sn 0.5087 0.4828 0.9990
Sn4 Sn 0.0096 0.4828 0.9990
Sn5 Sn 0.7637 0.7363 0.7363
Hg1 Hg 0.9636 0.0364 0.0364

# 4
# Sm3SnHg2 PBE optimized geometry
# total magnetization: 0.00 μB/f.u.
# crystal system: tetragonal
# relative energy among the computed polymorphs: 17 meV/atom
# calculated formation energy: -0.5393 eV per atom
data_Sm3SnHg2
_cell_length_a 3.7503
_cell_length_b 3.7503
_cell_length_c 11.7542
_cell_angle_alpha 90.00
_cell_angle_beta 90.00
_cell_angle_gamma 90.00
_symmetry_space_group_name_H-M 'P 1'
_symmetry_Int_Tables_number 1
_symmetry_space_group_name_Hall 'P 1'
loop_
_atom_site_label
_atom_site_type_symbol
_atom_site_fract_x
_atom_site_fract_y
_atom_site_fract_z
Sm1 Sm 0.0000 0.0000 0.0000
Sm2 Sm 0.0000 0.0000 0.6715
Sm3 Sm 0.0000 0.0000 0.3285
Sn1 Sn 0.5000 0.5000 0.5000
Hg1 Hg 0.5000 0.5000 0.8421
Hg2 Hg 0.5000 0.5000 0.1579